Density functional theory data (GGA-PBE) for a geometry-optimized SnOF structure.

Results
The space group is I4mm, No. 107.

a b c (Å): 3.230 3.230 5.488
angles (deg): 107.11 107.11 90.00
Fractional positions:
1 Sn 0.511 0.511 0.022
2 O 0.026 0.026 0.052
3 F 0.313 0.313 0.626

Density functional theory data (GGA-PBE) for a geometry-optimized SnOF3 structure.

Results
The space group is Pm-3m, No. 221. The relative energy among the computed polymorphs comes out at 0.00 eV per formula unit.

a b c (Å): 4.227 4.227 4.227
angles (deg): 90.00 90.00 90.00
Each line ends with the local moment (μB).
Fractional positions:
1 Sn 0.000 0.000 0.000  0.01
2 O 0.500 0.500 0.500  1.31
3 F 0.000 0.500 0.000  0.01
4 F 0.000 0.000 0.500  0.00
5 F 0.500 0.000 0.000  0.01

Density functional theory data (GGA-PBE) for a geometry-optimized Sn2OF5 structure.

Results
The space group is C2/m, No. 12.

a b c (Å): 5.779 5.779 8.483
angles (deg): 68.63 68.63 71.90
Fractional positions:
1 Sn 0.500 0.500 0.000
2 Sn 0.500 0.500 0.500
3 Sn 0.975 0.975 0.323
4 Sn 0.025 0.025 0.677
5 O 0.194 0.806 0.500
6 O 0.806 0.194 0.500
7 F 0.205 0.205 0.148
8 F 0.795 0.795 0.852
9 F 0.276 0.276 0.502
10 F 0.724 0.724 0.498
11 F 0.397 0.397 0.761
12 F 0.603 0.603 0.239
13 F 0.872 0.290 0.804
14 F 0.710 0.128 0.196
15 F 0.128 0.710 0.196
16 F 0.290 0.872 0.804

Density functional theory data (GGA-PBE) for a geometry-optimized Sn3OF3 structure.

Results
The space group is P2_1/m, No. 11.

a b c (Å): 4.511 8.502 7.447
angles (deg): 106.82 90.00 90.00
Fractional positions:
1 Sn 0.750 0.551 0.664
2 Sn 0.750 0.151 0.411
3 Sn 0.750 0.211 0.926
4 Sn 0.250 0.449 0.336
5 Sn 0.250 0.849 0.589
6 Sn 0.250 0.789 0.074
7 O 0.750 0.309 0.691
8 O 0.250 0.691 0.309
9 F 0.250 0.559 0.872
10 F 0.250 0.081 0.476
11 F 0.250 0.263 0.019
12 F 0.750 0.441 0.128
13 F 0.750 0.919 0.524
14 F 0.750 0.737 0.981

Density functional theory data (GGA-PBE) for a geometry-optimized Sn2OF2 structure.

Results
The space group is P2_1/m, No. 11. The relative energy among the computed polymorphs comes out at 0.31 eV per formula unit.

a b c (Å): 4.195 5.040 9.877
angles (deg): 113.90 90.00 90.00
Fractional positions:
1 Sn 0.750 0.510 0.673
2 Sn 0.750 0.843 0.088
3 Sn 0.250 0.157 0.912
4 Sn 0.250 0.490 0.327
5 O 0.750 0.944 0.897
6 O 0.250 0.056 0.103
7 F 0.250 0.725 0.727
8 F 0.250 0.265 0.461
9 F 0.750 0.735 0.539
10 F 0.750 0.275 0.273

Density functional theory data (GGA-PBE) for a geometry-optimized SnOF2 structure.

Results
The space group is R-3m, No. 166. The relative energy among the computed polymorphs comes out at 3.17 eV per formula unit.

a b c (Å): 8.454 8.454 8.454
angles (deg): 21.50 21.50 21.50
Each line ends with the local moment (μB).
Fractional positions:
1 Sn 0.000 0.000 0.000  -0.03
2 O 0.500 0.500 0.500  1.71
3 F 0.920 0.920 0.920  0.02
4 F 0.080 0.080 0.080  0.02

| no. | formation energy without anion corrections (meV per atom) |
| --- | --- |
| 1 | -1474 |
| 2 | -1251 |
| 3 | -2285 |
| 4 | -1679 |
| 5 | -1837 |
| 6 | -354 |